(1)
Material: CaSb3N
Method: DFT, PBE
State: optimized geometry

Summary:
The value obtained for the formation energy from raw total energies is 1.56 eV/atom. The excess energy over the best structure of this formula in the dataset is 1422 meV per atom.

POSCAR file:
```
CaSb3N
1.0
5.775 0.000 0.000
0.000 5.775 0.000
0.000 0.000 5.775
Ca Sb N
1 3 1
direct
0.000 0.000 0.000
0.000 0.000 0.500
0.000 0.500 0.000
0.500 0.000 0.000
0.500 0.500 0.500
```

=====

(2)
Material: LaPrSmY2
Method: DFT, PBE
State: optimized geometry

Summary:
As for the energy of formation from the pure elements: 0.2687 eV per atom.

POSCAR file:
```
LaPrSmY2
1.0
8.753 0.000 0.000
0.000 6.625 0.000
-1.077 0.000 6.168
La Pr Sm Y
2 2 2 4
direct
0.000 0.000 0.000
0.000 0.000 0.500
0.500 0.165 0.250
0.500 0.835 0.750
0.000 0.443 0.250
0.000 0.557 0.750
0.313 0.326 0.699
0.313 0.674 0.199
0.687 0.326 0.801
0.687 0.674 0.301
```

=====

(3)
Material: TcNiHg2
Method: DFT, PBE
State: optimized geometry

Summary:
As for the energy of formation from the pure elements: 0.6035 eV per atom. The excess energy over the best structure of this formula in the dataset is 276 meV per atom.

POSCAR file:
```
TcNiHg2
1.0
-2.171 2.171 3.653
2.171 -2.171 3.653
2.171 2.171 -3.653
Tc Ni Hg
1 1 2
direct
0.000 0.000 0.000
0.500 0.500 0.000
0.250 0.750 0.500
0.750 0.250 0.500
```

=====

(4)
Material: Rb2ScInCl6
Method: DFT, PBE
State: optimized geometry

Summary:
The value obtained for the formation energy from raw total energies is -1.83 eV/atom.

POSCAR file:
```
Rb2ScInCl6
1.0
7.596 0.000 0.000
3.483 6.761 0.000
3.487 2.129 6.428
Rb Sc In Cl
2 1 1 6
direct
0.238 0.239 0.238
0.762 0.761 0.762
0.000 0.000 0.000
0.500 0.500 0.500
0.139 0.794 0.304
0.207 0.697 0.859
0.304 0.140 0.797
0.696 0.860 0.203
0.793 0.303 0.141
0.861 0.206 0.696
```

=====

Calculated density (computed, g/cm³): 3.62, 5.64, 13.45, 2.73
Electronic total energy (computed, eV/atom): -2.979, -5.202, -3.584, -4.037